# AcGa2Ag

An optimized crystal structure of AcGa2Ag (PBE, Alexandria via LeMat-Bulk).

Properties
Uncorrected energy   -13.81 eV for the cell shown
ΔH_f (0 K)   -0.79 eV/f.u.
SG   P4/mmm
Crystal system   tetragonal

abc: 4.757 4.580 4.580
angles: 90.00 90.00 90.00
Element x y z (fractional)
Ac: 0.500 0.500 0.500
Ga: 0.000 0.500 0.000
Ag: 0.500 0.000 0.000
Ga: 0.000 0.000 0.500

---

# AcGa2Ag5

An optimized crystal structure of AcGa2Ag5 (PBE, Alexandria via LeMat-Bulk).

Properties
Uncorrected energy   -25.99 eV for the cell shown
ΔH_f (0 K)   -1.57 eV/f.u.
SG   Immm
Crystal system   orthorhombic

abc: 4.299 6.783 6.783
angles: 68.52 71.52 71.52
Element x y z (fractional)
Ga: 0.254 0.246 0.246
Ag: 0.000 0.500 0.500
Ac: 0.000 0.000 0.000
Ag: 0.356 0.830 0.457
Ga: 0.746 0.754 0.754
Ag: 0.644 0.543 0.170
Ag: 0.356 0.457 0.830
Ag: 0.644 0.170 0.543

---

# AcGa2Ag8

An optimized crystal structure of AcGa2Ag8 (PBE, Alexandria via LeMat-Bulk).

Properties
Uncorrected energy   -30.64 eV for the cell shown
ΔH_f (0 K)   2.34 eV/f.u.
SG   P4/mmm
Crystal system   tetragonal

abc: 5.595 5.595 8.968
angles: 90.00 90.00 90.00
Element x y z (fractional)
Ag: 0.247 0.753 0.791
Ag: 0.753 0.247 0.209
Ga: 0.500 0.000 0.000
Ag: 0.247 0.247 0.791
Ag: 0.247 0.753 0.209
Ac: 0.500 0.500 0.500
Ag: 0.753 0.247 0.791
Ga: 0.000 0.500 0.000
Ag: 0.753 0.753 0.209
Ag: 0.753 0.753 0.791
Ag: 0.247 0.247 0.209

---

# AcGa3Ag

An optimized crystal structure of AcGa3Ag (PBE, Alexandria via LeMat-Bulk).

Properties
Uncorrected energy   -18.40 eV for the cell shown
ΔH_f (0 K)   -2.36 eV/f.u.
SG   I4mm
Crystal system   tetragonal

abc: 4.537 4.537 6.304
angles: 111.09 111.09 90.00
Element x y z (fractional)
Ac: 0.012 0.012 0.024
Ga: 0.403 0.403 0.805
Ga: 0.767 0.267 0.534
Ga: 0.267 0.767 0.534
Ag: 0.642 0.642 0.283

---

# Ac2Ga7Ag12

An optimized crystal structure of Ac2Ga7Ag12 (PBE, Alexandria via LeMat-Bulk).

Properties
Uncorrected energy   -67.15 eV for the cell shown
ΔH_f (0 K)   -3.53 eV/f.u.
SG   P-3
Crystal system   trigonal

abc: 4.301 10.708 10.708
angles: 120.00 90.00 90.00
Element x y z (fractional)
Ac: 0.757 0.667 0.333
Ag: 0.248 0.622 0.055
Ag: 0.752 0.568 0.622
Ag: 0.752 0.055 0.432
Ag: 0.768 0.880 0.742
Ag: 0.232 0.742 0.863
Ga: 0.742 0.292 0.406
Ga: 0.742 0.594 0.885
Ag: 0.768 0.863 0.120
Ga: 0.258 0.406 0.115
Ag: 0.248 0.945 0.568
Ga: 0.742 0.115 0.708
Ac: 0.243 0.333 0.667
Ag: 0.248 0.432 0.378
Ga: 0.258 0.708 0.594
Ag: 0.752 0.378 0.945
Ag: 0.768 0.258 0.137
Ga: 0.258 0.885 0.292
Ag: 0.232 0.137 0.880
Ag: 0.232 0.120 0.258
Ga: 0.500 0.000 0.000

---

# Ac3GaAg2

An optimized crystal structure of Ac3GaAg2 (PBE, Alexandria via LeMat-Bulk).

Properties
Uncorrected energy   -23.01 eV for the cell shown
ΔH_f (0 K)   -1.96 eV/f.u.
SG   P4/mmm
Crystal system   tetragonal

abc: 3.955 3.955 11.801
angles: 90.00 90.00 90.00
Element x y z (fractional)
Ga: 0.500 0.500 0.500
Ac: 0.000 0.000 0.660
Ag: 0.500 0.500 0.833
Ag: 0.500 0.500 0.167
Ac: 0.000 0.000 0.340
Ac: 0.000 0.000 0.000

---

# Ac5GaAg4

An optimized crystal structure of Ac5GaAg4 (PBE, Alexandria via LeMat-Bulk).

Properties
Uncorrected energy   -37.99 eV for the cell shown
ΔH_f (0 K)   -3.02 eV/f.u.
SG   P4/mmm
Crystal system   tetragonal

abc: 3.955 3.955 19.733
angles: 90.00 90.00 90.00
Element x y z (fractional)
Ac: 0.500 0.500 0.903
Ac: 0.500 0.500 0.299
Ac: 0.500 0.500 0.097
Ag: 0.000 0.000 0.400
Ga: 0.000 0.000 0.000
Ac: 0.500 0.500 0.701
Ag: 0.000 0.000 0.800
Ac: 0.500 0.500 0.500
Ag: 0.000 0.000 0.600
Ag: 0.000 0.000 0.200

---

# AcGa2Ag

An optimized crystal structure of AcGa2Ag (PBE, Alexandria via LeMat-Bulk).

Properties
Uncorrected energy   -13.82 eV for the cell shown
ΔH_f (0 K)   -0.80 eV/f.u.
SG   P4/mmm
Crystal system   tetragonal

abc: 3.618 3.618 7.189
angles: 90.00 90.00 90.00
Element x y z (fractional)
Ag: 0.500 0.500 0.000
Ac: 0.500 0.500 0.500
Ga: 0.000 0.000 0.190
Ga: 0.000 0.000 0.810